This record from Alexandria describes crystalline LuNbFeTc at its relaxed geometry. The functional is PBE-GGA.

The crystal system is cubic. The calculated formation energy comes out at -0.075 eV per atom. The density of states at the Fermi level comes out at 3.583 states/eV/f.u.

The space group is F-43m (No. 216) and the conventional cell measures 6.416, 6.416 and 6.416 Å, with angles of 90.00, 90.00 and 90.00 degrees. The asymmetric unit holds Lu at (0.000, 0.000, 0.000), Nb at (0.000, 0.000, 0.500), Fe at (0.250, 0.250, 0.250) and Tc at (0.250, 0.250, 0.750).